Entry 1:
Bi: optimized geometry, PBE-GGA.

Values from the calculation:
Crystal system: orthorhombic
Uncorrected energy: -30.36 eV per cell
Space group: Cmce (64)

Structure (POSCAR):
```
Bi
1.0
-5.821 -1.203 -2.759
4.805 -4.385 -0.796
-2.026 -3.254 5.694
Bi
8
direct
0.710 0.290 0.500
0.210 0.790 0.000
0.290 0.710 0.500
0.790 0.210 0.000
0.344 0.344 0.816
0.656 0.656 0.184
0.156 0.156 0.316
0.844 0.844 0.684
```

Entry 2:
LaCrCu2P: optimized geometry, PBE-GGA.

Values from the calculation:
Crystal system: tetragonal
Uncorrected energy: -27.98 eV per cell
Space group: P4/mmm (123)

Structure (POSCAR):
```
LaCrCu2P
1.0
-0.275 4.399 -0.938
-4.359 -0.574 -1.417
-1.466 0.801 4.185
Cr P Cu La
1 1 2 1
direct
0.000 0.500 0.000
0.000 0.000 0.000
0.000 0.000 0.500
0.500 0.000 0.000
0.500 0.500 0.500
```

Entry 3:
LaTe2AsN: optimized geometry, PBE-GGA.

Values from the calculation:
ΔE_f (raw): -0.04 eV/atom
Crystal system: tetragonal
Space group: P4/mmm (123)

Structure (POSCAR):
```
LaTe2AsN
1.0
5.658 0.000 0.000
0.000 5.658 0.000
0.000 0.000 3.939
N As Te La
1 1 2 1
direct
0.000 0.000 0.500
0.000 0.000 0.000
0.000 0.500 0.000
0.500 0.000 0.000
0.500 0.500 0.500
```

Entry 4:
Ti2PbN: optimized geometry, PBE-GGA.

Values from the calculation:
ΔE_f (raw): 0.71 eV/atom
Crystal system: cubic
Space group: Fm-3m (225)

Structure (POSCAR):
```
Ti2PbN
1.0
3.452 -2.487 -1.505
-0.606 -4.375 -0.926
0.054 -1.429 -4.280
Pb N Ti
1 1 2
direct
0.500 0.500 0.500
0.000 0.000 0.000
0.250 0.250 0.250
0.750 0.750 0.750
```

Entry 5:
KTaBe2: optimized geometry, PBE-GGA.

Values from the calculation:
Crystal system: tetragonal
Uncorrected energy: -28.62 eV per cell
Space group: I-42d (122)

Structure (POSCAR):
```
KTaBe2
1.0
7.148 0.000 0.000
0.000 7.148 0.000
3.574 3.574 3.412
Be K Ta
4 2 2
direct
0.685 0.125 0.250
0.065 0.625 0.250
0.375 0.315 0.750
0.875 0.935 0.750
0.500 0.500 0.000
0.250 0.750 0.500
0.000 0.000 0.000
0.750 0.250 0.500
```

Entry 6:
NaBiSb2: optimized geometry, PBE-GGA.

Values from the calculation:
ΔE_f (raw): 0.01 eV/atom
Crystal system: trigonal
Space group: R3m (160)

Structure (POSCAR):
```
NaBiSb2
1.0
-3.924 1.448 -0.472
-1.962 -0.407 -3.702
-5.031 -7.171 1.061
Na Bi Sb
1 1 2
direct
0.500 0.500 0.500
0.666 0.666 0.001
0.077 0.077 0.768
0.256 0.256 0.232
```

Listing D(E_F) for the structures above in their given order: 4.5, 3.2, 1.4, 4.9, 3.8, 3.1 states/eV per cell.